Record 1
An optimized crystal structure of ZrIr2Se. Source: Alexandria, functional PBE-GGA. Values from VASP.

The structure in Quantum ESPRESSO input format:
```
&SYSTEM
  ibrav = 0, nat = 8, ntyp = 3
/
ATOMIC_SPECIES
Zr 91.22 Zr.upf
Ir 192.22 Ir.upf
Se 78.96 Se.upf
CELL_PARAMETERS angstrom
-1.982 -4.119 0.382
2.742 0.263 4.814
-4.939 2.565 1.188
ATOMIC_POSITIONS angstrom
Zr -1.910 0.980 2.107
Zr -0.472 -2.090 3.177
Ir -4.481 2.229 2.277
Ir -2.877 1.926 4.669
Ir -1.898 -1.819 0.951
Ir -4.454 -0.401 1.608
Se -2.979 -0.799 4.183
Se -0.109 0.378 4.453
```

=====

Record 2
An optimized crystal structure of LiMnPb2Cl6. Source: Alexandria, functional PBE-GGA. Values from VASP.

The structure in Quantum ESPRESSO input format:
```
&SYSTEM
  ibrav = 0, nat = 10, ntyp = 4
/
ATOMIC_SPECIES
Li 6.94 Li.upf
Mn 54.94 Mn.upf
Pb 207.20 Pb.upf
Cl 35.45 Cl.upf
CELL_PARAMETERS angstrom
7.218 0.001 0.001
3.610 6.251 0.000
3.610 2.084 6.177
ATOMIC_POSITIONS angstrom
Li 10.828 6.252 3.538
Mn 7.219 4.168 5.089
Pb 7.219 4.168 2.091
Pb 3.609 2.084 3.995
Cl 5.794 1.668 2.263
Cl 5.766 6.651 2.263
Cl 10.096 4.185 2.263
Cl 8.679 5.954 5.219
Cl 8.035 2.011 5.219
Cl 4.942 4.540 5.219
```

=====

Per-record formation energy (no corrections), eV per atom: -0.4532 -1.1090